NaLaGdSn | PBE | optimized geometry

Properties
Fermi-level density of states   1.466 states/eV/atom
Total DFT energy (no corrections)   -0.2355 Ha/atom
E_form   -326 meV/atom

Lattice parameters (Å, degrees): 7.7888 7.7888 7.7888 90.00 90.00 90.00
Last column: nearest neighbours and their distance in Å.
Space group F-43m (No. 216)
Inequivalent atoms, fractional coordinates:
Na 0.0000 0.0000 0.0000 [4 per cell]  4 Gd 3.37, 4 La 3.37
La 0.2500 0.2500 0.2500 [4 per cell]  4 Sn 3.37, 4 Na 3.37
Gd 0.2500 0.2500 0.7500 [4 per cell]  4 Sn 3.37, 4 Na 3.37
Sn 0.0000 0.0000 0.5000 [4 per cell]  4 Gd 3.37, 4 La 3.37